Material: CrCoAu2
Method: DFT, PBE
State: relaxed

Values from the calculation:
* crystal system: tetragonal
* theoretical density: 13.696 g cm⁻³
* calculated total energy: -5.610 eV per atom
* N(E_F): 1.2621 states/eV/atom
* energy relative to the elements: 211 meV per atom
* magnetic moment: 2.10 Bohr magnetons per cell
* calculated volume: 15.30 Å³/atom

Cell: 4.891 4.891 4.891 Å, 133.13 133.13 68.45°
Atoms (fractional coordinates):
Cr 0.000 0.000 0.000
Co 0.750 0.250 0.500
Au 0.250 0.750 0.500
Au 0.500 0.500 0.000

---

Material: CrCoAu2
Method: DFT, PBE
State: relaxed

Values from the calculation:
* crystal system: tetragonal
* theoretical density: 14.017 g cm⁻³
* calculated total energy: -5.628 eV per atom
* N(E_F): 1.0772 states/eV/atom
* energy relative to the elements: 193 meV per atom
* magnetic moment: 1.76 Bohr magnetons per cell
* calculated volume: 14.95 Å³/atom

Cell: 2.821 2.821 7.513 Å, 90.00 90.00 90.00°
Atoms (fractional coordinates):
Cr 0.000 0.000 0.000
Co 0.500 0.500 0.823
Au 0.000 0.000 0.568
Au 0.500 0.500 0.266

---

Material: CrCoAu2
Method: DFT, PBE
State: relaxed

Values from the calculation:
* crystal system: cubic
* theoretical density: 14.363 g cm⁻³
* calculated total energy: -5.316 eV per atom
* N(E_F): 2.0422 states/eV/atom
* energy relative to the elements: 505 meV per atom
* magnetic moment: 0.00 Bohr magnetons per cell
* calculated volume: 14.59 Å³/atom

Cell: 4.354 4.354 4.354 Å, 60.00 60.00 60.00°
Atoms (fractional coordinates):
Cr 0.000 0.000 0.000
Co 0.500 0.500 0.500
Au 0.250 0.250 0.250
Au 0.750 0.750 0.750

---

Material: CrCoAu2
Method: DFT, PBE
State: relaxed

Values from the calculation:
* crystal system: monoclinic
* theoretical density: 13.726 g cm⁻³
* calculated total energy: -5.544 eV per atom
* N(E_F): 1.3135 states/eV/atom
* energy relative to the elements: 277 meV per atom
* magnetic moment: 4.40 Bohr magnetons per cell
* calculated volume: 15.27 Å³/atom

Cell: 4.893 4.893 4.749 Å, 104.72 104.72 33.86°
Atoms (fractional coordinates):
Cr 0.000 0.000 0.000
Co 0.286 0.286 0.752
Au 0.530 0.530 0.528
Au 0.757 0.757 0.227

---

Material: Cr2Co2Au
Method: DFT, PBE
State: relaxed

Values from the calculation:
* crystal system: tetragonal
* theoretical density: 11.194 g cm⁻³
* calculated total energy: -7.152 eV per atom
* N(E_F): 1.1693 states/eV/atom
* energy relative to the elements: 195 meV per atom
* magnetic moment: 0.00 Bohr magnetons per cell
* calculated volume: 12.43 Å³/atom

Cell: 6.931 6.931 2.586 Å, 90.00 90.00 90.00°
Atoms (fractional coordinates):
Cr 0.166 0.334 0.000
Cr 0.334 0.834 0.000
Cr 0.666 0.166 0.000
Cr 0.834 0.666 0.000
Co 0.125 0.625 0.500
Co 0.375 0.125 0.500
Co 0.625 0.875 0.500
Co 0.875 0.375 0.500
Au 0.000 0.000 0.500
Au 0.500 0.500 0.500

---

Material: CrCoAu
Method: DFT, PBE
State: relaxed

Values from the calculation:
* crystal system: tetragonal
* theoretical density: 12.449 g cm⁻³
* calculated total energy: -6.422 eV per atom
* N(E_F): 0.9218 states/eV/atom
* energy relative to the elements: 247 meV per atom
* magnetic moment: 1.80 Bohr magnetons per cell
* calculated volume: 13.69 Å³/atom

Cell: 5.749 5.749 5.749 Å, 152.27 152.27 39.62°
Atoms (fractional coordinates):
Cr 0.000 0.000 0.000
Co 0.374 0.374 0.000
Au 0.689 0.689 0.000

---

Material: Cr2Co2Au
Method: DFT, PBE
State: relaxed

Values from the calculation:
* crystal system: tetragonal
* theoretical density: 10.548 g cm⁻³
* calculated total energy: -6.978 eV per atom
* N(E_F): 1.1697 states/eV/atom
* energy relative to the elements: 369 meV per atom
* magnetic moment: 0.80 Bohr magnetons per cell
* calculated volume: 13.19 Å³/atom

Cell: 5.589 5.589 5.589 Å, 141.92 141.92 54.95°
Atoms (fractional coordinates):
Cr 0.250 0.750 0.500
Cr 0.750 0.250 0.500
Co 0.110 0.110 0.000
Co 0.890 0.890 0.000
Au 0.500 0.500 0.000

---

Material: CrCoAu2
Method: DFT, PBE
State: relaxed

Values from the calculation:
* crystal system: tetragonal
* theoretical density: 12.185 g cm⁻³
* calculated total energy: -5.247 eV per atom
* N(E_F): 1.1707 states/eV/atom
* energy relative to the elements: 574 meV per atom
* magnetic moment: 11.14 Bohr magnetons per cell
* calculated volume: 17.20 Å³/atom

Cell: 5.728 5.728 5.728 Å, 102.74 102.74 123.98°
Atoms (fractional coordinates):
Cr 0.000 0.000 0.000
Cr 0.750 0.250 0.500
Co 0.250 0.750 0.500
Co 0.500 0.500 0.000
Au 0.143 0.125 0.518
Au 0.375 0.857 0.982
Au 0.607 0.625 0.482
Au 0.875 0.393 0.018

---

Material: CrCoAu2
Method: DFT, PBE
State: relaxed

Values from the calculation:
* crystal system: orthorhombic
* theoretical density: 13.471 g cm⁻³
* calculated total energy: -5.539 eV per atom
* N(E_F): 1.5410 states/eV/atom
* energy relative to the elements: 282 meV per atom
* magnetic moment: 5.31 Bohr magnetons per cell
* calculated volume: 15.56 Å³/atom

Cell: 4.747 4.747 4.747 Å, 129.54 129.27 74.36°
Atoms (fractional coordinates):
Cr 0.000 0.000 0.000
Co 0.500 0.500 0.000
Au 0.250 0.750 0.500
Au 0.750 0.250 0.500

---

Material: CrCoAu2
Method: DFT, PBE
State: relaxed

Values from the calculation:
* crystal system: trigonal
* theoretical density: 13.228 g cm⁻³
* calculated total energy: -5.400 eV per atom
* N(E_F): 1.3860 states/eV/atom
* energy relative to the elements: 421 meV per atom
* magnetic moment: 5.43 Bohr magnetons per cell
* calculated volume: 15.84 Å³/atom

Cell: 8.985 8.985 8.985 Å, 18.44 18.44 18.44°
Atoms (fractional coordinates):
Cr 0.000 0.000 0.000
Co 0.500 0.500 0.500
Au 0.248 0.248 0.248
Au 0.752 0.752 0.752

---

Material: Cr2Co2Au
Method: DFT, PBE
State: relaxed

Values from the calculation:
* crystal system: tetragonal
* theoretical density: 11.022 g cm⁻³
* calculated total energy: -7.080 eV per atom
* N(E_F): 1.0414 states/eV/atom
* energy relative to the elements: 267 meV per atom
* magnetic moment: 0.00 Bohr magnetons per cell
* calculated volume: 12.62 Å³/atom

Cell: 6.988 6.988 2.584 Å, 90.00 90.00 90.00°
Atoms (fractional coordinates):
Cr 0.115 0.385 0.000
Cr 0.385 0.885 0.000
Cr 0.615 0.115 0.000
Cr 0.885 0.615 0.000
Co 0.170 0.670 0.500
Co 0.330 0.170 0.500
Co 0.670 0.830 0.500
Co 0.830 0.330 0.500
Au 0.000 0.000 0.000
Au 0.500 0.500 0.000